Here is an optimized crystal structure of Mg6H3Ir from Alexandria. Energies are from PBE.

```
Mg6H3Ir
1.0
-5.262 -0.737 -0.869
-2.742 -6.234 2.802
-4.088 1.878 3.321
Mg H Ir
6 3 1
Cartesian
-2.939 0.560 2.223
-9.053 -4.040 5.164
-3.787 -2.667 1.135
-5.314 -0.261 0.533
-4.910 -1.223 3.541
-7.061 -3.449 2.595
-3.279 -4.368 2.390
-1.918 -2.240 1.518
-5.624 -3.339 4.593
-4.457 -3.858 3.488
```

Values from the calculation:
Total magnetic moment   0.0000 μB/atom
Symmetry   P1
Electronic total energy   -3.0242 eV per atom